## Pr2InHg3 (PBE)

Data for an optimized crystal structure of Pr2InHg3.

Unit cell a=7.322 b=10.055 c=17.419 alpha=90.00 beta=90.00 gamma=90.00
Space group Fmmm (No. 69)
Unique sites:
Pr (0.244, 0.000, 0.000) [8 per cell]
Pr (0.250, 0.250, 0.250) [8 per cell]
In (0.000, 0.000, 0.334) [8 per cell]
Hg (0.000, 0.000, 0.167) [8 per cell]
Hg (0.000, 0.248, 0.417) [16 per cell]

## Properties
Raw total energy, eV/cell: -127.2
Magnetic moment, μB per formula unit: 0.001
Formation energy, eV per atom: -0.45